[1]
The following is a DFT calculation (GGA-PBEsol) of Fe2CuNi after structural relaxation.

## Properties
E_form	0.0798	eV per atom
calculated density	8.829	Mg/m³
space group	I4/mmm, No. 139
total moment	5.87	μB/f.u.
offset from the most stable computed form	0.06	eV per formula unit
VASP energy	-28.1	eV/f.u.

Cell lengths 4.376, 4.376, 4.376 Å; angles 133.02, 133.02, 68.63 degrees
Fractional positions:
Fe  0.250  0.750  0.500
Fe  0.750  0.250  0.500
Cu  0.000  0.000  0.000
Ni  0.500  0.500  0.000

---

[2]
The following is a DFT calculation (GGA-PBEsol) of FeCuNi2 after structural relaxation.

## Properties
E_form	0.0128	eV per atom
calculated density	9.116	Mg/m³
space group	I-4m2, No. 119
total moment	3.83	μB/f.u.
VASP energy	-25.6	eV/f.u.

Cell lengths 4.345, 4.345, 4.345 Å; angles 132.96, 132.96, 68.72 degrees
Fractional positions:
Fe  0.000  0.000  0.000
Cu  0.250  0.750  0.500
Ni  0.500  0.500  0.000
Ni  0.750  0.250  0.500

---

[3]
The following is a DFT calculation (GGA-PBEsol) of Fe4CuNiO8 after structural relaxation.

## Properties
calculated density	5.866	Mg/m³
space group	C2/m, No. 12
total moment	8.95	μB/f.u.
VASP energy	-103.1	eV/f.u.

Cell lengths 5.755, 5.755, 5.681 Å; angles 118.56, 118.56, 58.40 degrees
Fractional positions:
Fe  0.000  0.500  0.000
Fe  0.111  0.111  0.370
Fe  0.500  0.000  0.000
Fe  0.889  0.889  0.630
Cu  0.500  0.500  0.500
Ni  0.500  0.500  0.000
O  0.234  0.234  0.209
O  0.241  0.713  0.231
O  0.259  0.259  0.777
O  0.287  0.759  0.769
O  0.713  0.241  0.231
O  0.741  0.741  0.223
O  0.759  0.287  0.769
O  0.766  0.766  0.791

---

[4]
The following is a DFT calculation (GGA-PBEsol) of Fe2CuNiS after structural relaxation.

## Properties
calculated density	6.638	Mg/m³
space group	P4/mmm, No. 123
total moment	4.51	μB/f.u.
VASP energy	-31.3	eV/f.u.

Cell lengths 4.065, 4.065, 4.027 Å; angles 90.00, 90.00, 90.00 degrees
Fractional positions:
Fe  0.000  0.500  0.000
Fe  0.500  0.000  0.000
Cu  0.000  0.000  0.500
Ni  0.500  0.500  0.500
S  0.500  0.500  0.000